Density functional theory data (PBE) for a relaxed GaSbI3 crystal.

a = 5.7029 Å, b = 5.7029 Å, c = 5.7029 Å
α = 90.00°, β = 90.00°, γ = 90.00°
Closest atoms and distances in Å follow each position.
Space group Pm-3m (No. 221)
Asymmetric unit:
Ga: 0.0000 0.0000 0.0000  6 I 2.85
Sb: 0.5000 0.5000 0.5000  12 I 4.03
I: 0.0000 0.0000 0.5000  2 Ga 2.85

Results
The polymorph energy (0 for the lowest one) comes out at 279.7 meV/atom. The value obtained for the electronic total energy is -10.67 eV/cell.